(1)
{"formula": "Na2BiPbCl8", "functional": "PBE", "state": "relaxed", "lattice": [[6.465, 0.000, 0.000], [0.000, 8.538, 0.000], [-0.521, 0.000, 6.576]], "species": ["Na", "Na", "Bi", "Pb", "Cl", "Cl", "Cl", "Cl", "Cl", "Cl", "Cl", "Cl"], "fractional_positions": [[0.000, 0.244, 0.000], [0.000, 0.756, 0.000], [0.500, 0.000, 0.500], [0.500, 0.500, 0.500], [0.208, 0.500, 0.184], [0.223, 0.000, 0.176], [0.292, 0.247, 0.670], [0.292, 0.753, 0.670], [0.708, 0.247, 0.330], [0.708, 0.753, 0.330], [0.777, 0.000, 0.824], [0.792, 0.500, 0.816]], "sg": "No. 10", "formation_energy_uncorrected_ev_per_atom": -1.1788}



(2)
{"formula": "CrRu2Au", "functional": "PBE", "state": "relaxed", "lattice": [[0.000, 3.078, 3.078], [3.078, 0.000, 3.078], [3.078, 3.078, 0.000]], "species": ["Cr", "Ru", "Ru", "Au"], "fractional_positions": [[0.000, 0.000, 0.000], [0.250, 0.250, 0.250], [0.750, 0.750, 0.750], [0.500, 0.500, 0.500]], "formation_energy_mev_per_atom": 501, "sg": "No. 225"}



(3)
{"formula": "RbGaAgF6", "functional": "PBE", "state": "relaxed", "lattice": [[7.390, 0.000, 0.000], [0.000, 7.562, 0.000], [0.000, 0.000, 10.367]], "species": ["Rb", "Rb", "Rb", "Rb", "Ga", "Ga", "Ga", "Ga", "Ag", "Ag", "Ag", "Ag", "F", "F", "F", "F", "F", "F", "F", "F", "F", "F", "F", "F", "F", "F", "F", "F", "F", "F", "F", "F", "F", "F", "F", "F"], "fractional_positions": [[0.028, 0.250, 0.122], [0.472, 0.750, 0.622], [0.528, 0.250, 0.378], [0.972, 0.750, 0.878], [0.000, 0.000, 0.500], [0.000, 0.500, 0.500], [0.500, 0.000, 0.000], [0.500, 0.500, 0.000], [0.188, 0.250, 0.755], [0.312, 0.750, 0.255], [0.688, 0.250, 0.745], [0.812, 0.750, 0.245], [0.066, 0.750, 0.163], [0.072, 0.250, 0.505], [0.108, 0.528, 0.667], [0.108, 0.972, 0.667], [0.230, 0.549, 0.425], [0.230, 0.951, 0.425], [0.270, 0.049, 0.925], [0.270, 0.451, 0.925], [0.392, 0.028, 0.167], [0.392, 0.472, 0.167], [0.428, 0.750, 0.005], [0.434, 0.250, 0.663], [0.566, 0.750, 0.337], [0.572, 0.250, 0.995], [0.608, 0.528, 0.833], [0.608, 0.972, 0.833], [0.730, 0.549, 0.075], [0.730, 0.951, 0.075], [0.770, 0.049, 0.575], [0.770, 0.451, 0.575], [0.892, 0.028, 0.333], [0.892, 0.472, 0.333], [0.928, 0.750, 0.495], [0.934, 0.250, 0.837]], "sg": "No. 62", "formation_energy_uncorrected_ev_per_atom": -2.2200}



(4)
{"formula": "TlHgN", "functional": "PBE", "state": "relaxed", "lattice": [[12.461, 0.000, 0.000], [0.000, 3.543, 0.000], [-3.590, 0.000, 10.122]], "species": ["Tl", "Tl", "Tl", "Tl", "Hg", "Hg", "Hg", "Hg", "N", "N", "N", "N"], "fractional_positions": [[0.133, 0.250, 0.304], [0.133, 0.250, 0.804], [0.867, 0.750, 0.196], [0.867, 0.750, 0.696], [0.123, 0.750, 0.050], [0.123, 0.750, 0.550], [0.877, 0.250, 0.450], [0.877, 0.250, 0.950], [0.470, 0.038, 0.450], [0.470, 0.462, 0.950], [0.530, 0.538, 0.050], [0.530, 0.962, 0.550]], "sg": "No. 14", "formation_energy_uncorrected_ev_per_atom": 0.0642}



(5)
{"formula": "NaSrCd4", "functional": "PBE", "state": "relaxed", "lattice": [[0.000, 4.319, 4.319], [4.319, 0.000, 4.319], [4.319, 4.319, 0.000]], "species": ["Na", "Sr", "Cd", "Cd", "Cd", "Cd"], "fractional_positions": [[0.000, 0.000, 0.000], [0.750, 0.750, 0.750], [0.375, 0.375, 0.375], [0.375, 0.375, 0.876], [0.375, 0.876, 0.375], [0.876, 0.375, 0.375]], "formation_energy_mev_per_atom": -218, "sg": "No. 216"}



(6)
{"formula": "PmErTeP", "functional": "PBE", "state": "relaxed", "lattice": [[2.052, 1.185, 7.340], [-2.052, 1.185, 7.340], [0.000, -2.370, 7.340]], "species": ["Pm", "Er", "Te", "P"], "fractional_positions": [[0.000, 0.000, 0.000], [0.194, 0.194, 0.194], [0.433, 0.433, 0.433], [0.595, 0.595, 0.595]], "sg": "No. 160", "formation_energy_uncorrected_ev_per_atom": -1.5062}



(7)
{"formula": "BaZnRu2", "functional": "PBE", "state": "relaxed", "lattice": [[2.185, 1.262, 5.806], [-2.185, 1.262, 5.806], [0.000, -2.523, 5.806]], "species": ["Ba", "Zn", "Ru", "Ru"], "fractional_positions": [[0.000, 0.000, 0.000], [0.188, 0.188, 0.188], [0.485, 0.485, 0.485], [0.813, 0.813, 0.813]], "formation_energy_mev_per_atom": 69, "sg": "No. 160"}



(8)
{"formula": "Zn2CBr", "functional": "PBE", "state": "relaxed", "lattice": [[-2.776, 2.776, 4.948], [2.776, -2.776, 4.948], [2.776, 2.776, -4.948]], "species": ["Zn", "Zn", "Zn", "Zn", "C", "C", "Br", "Br"], "fractional_positions": [[0.004, 0.625, 0.879], [0.375, 0.254, 0.379], [0.746, 0.125, 0.121], [0.875, 0.996, 0.621], [0.000, 0.000, 0.000], [0.750, 0.250, 0.500], [0.250, 0.750, 0.500], [0.500, 0.500, 0.000]], "sg": "No. 122", "formation_energy_uncorrected_ev_per_atom": 0.3912}



(9)
{"formula": "Cs3Li2Br2Cl4", "functional": "PBE", "state": "relaxed", "lattice": [[-2.548, 2.548, 14.472], [2.548, -2.548, 14.472], [2.548, 2.548, -14.472]], "species": ["Cs", "Cs", "Cs", "Li", "Li", "Br", "Br", "Cl", "Cl", "Cl", "Cl"], "fractional_positions": [[0.000, 0.000, 0.000], [0.175, 0.175, 0.000], [0.825, 0.825, 0.000], [0.396, 0.396, 0.000], [0.604, 0.604, 0.000], [0.305, 0.305, 0.000], [0.695, 0.695, 0.000], [0.086, 0.586, 0.500], [0.414, 0.914, 0.500], [0.586, 0.086, 0.500], [0.914, 0.414, 0.500]], "sg": "No. 139", "formation_energy_uncorrected_ev_per_atom": -1.6021}



(10)
{"formula": "ZrAgRh2", "functional": "PBE", "state": "relaxed", "lattice": [[4.530, -1.562, 0.000], [4.530, 1.562, 0.000], [-1.311, 0.000, 4.794]], "species": ["Zr", "Ag", "Rh", "Rh"], "fractional_positions": [[0.000, 0.000, 0.000], [0.500, 0.500, 0.500], [0.257, 0.257, 0.750], [0.743, 0.743, 0.250]], "formation_energy_mev_per_atom": -245, "sg": "No. 12"}



(11)
{"formula": "KCaAgO2", "functional": "PBE", "state": "relaxed", "lattice": [[3.288, -6.416, 0.000], [3.288, 6.416, 0.000], [0.000, 0.000, 5.318]], "species": ["K", "K", "Ca", "Ca", "Ag", "Ag", "O", "O", "O", "O"], "fractional_positions": [[0.250, 0.750, 0.826], [0.750, 0.250, 0.174], [0.250, 0.250, 0.000], [0.750, 0.750, 0.000], [0.000, 0.000, 0.500], [0.500, 0.500, 0.500], [0.096, 0.904, 0.184], [0.404, 0.596, 0.184], [0.596, 0.404, 0.816], [0.904, 0.096, 0.816]], "sg": "No. 67", "formation_energy_uncorrected_ev_per_atom": -1.4324}



(12)
{"formula": "Ta2VWN", "functional": "PBE", "state": "relaxed", "lattice": [[4.400, 0.000, 0.000], [0.000, 4.400, 0.000], [0.000, 0.000, 3.725]], "species": ["Ta", "Ta", "V", "W", "N"], "fractional_positions": [[0.000, 0.500, 0.000], [0.500, 0.000, 0.000], [0.000, 0.000, 0.500], [0.500, 0.500, 0.500], [0.000, 0.000, 0.000]], "sg": "No. 123", "formation_energy_uncorrected_ev_per_atom": -0.4349}



(13)
{"formula": "BaHgSe2", "functional": "PBE", "state": "relaxed", "lattice": [[6.968, -2.164, 0.000], [6.968, 2.164, 0.000], [-0.585, 0.000, 4.744]], "species": ["Ba", "Hg", "Se", "Se"], "fractional_positions": [[0.000, 0.000, 0.000], [0.272, 0.272, 0.229], [0.447, 0.447, 0.482], [0.687, 0.687, 0.987]], "sg": "No. 8", "formation_energy_uncorrected_ev_per_atom": -1.0492}



(14)
{"formula": "PuAs4Pd6", "functional": "PBE", "state": "relaxed", "lattice": [[7.427, 0.000, 0.000], [-3.713, 6.432, 0.000], [0.000, 0.000, 3.991]], "species": ["Pu", "As", "As", "As", "As", "Pd", "Pd", "Pd", "Pd", "Pd", "Pd"], "fractional_positions": [[0.000, 0.000, 0.000], [0.333, 0.667, 0.000], [0.369, 0.185, 0.500], [0.815, 0.185, 0.500], [0.815, 0.631, 0.500], [0.200, 0.401, 0.500], [0.200, 0.800, 0.500], [0.537, 0.073, 0.000], [0.537, 0.463, 0.000], [0.599, 0.800, 0.500], [0.927, 0.463, 0.000]], "formation_energy_mev_per_atom": -490, "sg": "No. 187"}



(15)
{"formula": "CsTmBeSe3", "functional": "PBE", "state": "relaxed", "lattice": [[9.884, 0.000, 0.000], [0.000, 4.015, 0.000], [-3.956, 0.000, 9.106]], "species": ["Cs", "Cs", "Tm", "Tm", "Be", "Be", "Se", "Se", "Se", "Se", "Se", "Se"], "fractional_positions": [[0.215, 0.250, 0.243], [0.785, 0.750, 0.757], [0.332, 0.750, 0.857], [0.668, 0.250, 0.143], [0.078, 0.250, 0.606], [0.922, 0.750, 0.394], [0.124, 0.250, 0.843], [0.167, 0.750, 0.538], [0.478, 0.750, 0.164], [0.522, 0.250, 0.836], [0.833, 0.250, 0.462], [0.876, 0.750, 0.157]], "sg": "No. 11", "formation_energy_uncorrected_ev_per_atom": -1.4064}



(16)
{"formula": "Pr3Sm4Dy3", "functional": "PBE", "state": "relaxed", "lattice": [[3.776, 0.000, 0.000], [0.000, 6.714, 6.770], [0.000, -6.714, 6.770]], "species": ["Pr", "Pr", "Pr", "Sm", "Sm", "Sm", "Sm", "Dy", "Dy", "Dy"], "fractional_positions": [[0.000, 0.000, 0.000], [0.000, 0.499, 0.843], [0.000, 0.843, 0.499], [0.500, 0.047, 0.302], [0.500, 0.302, 0.047], [0.500, 0.541, 0.541], [0.500, 0.800, 0.800], [0.000, 0.344, 0.344], [0.500, 0.174, 0.666], [0.500, 0.666, 0.174]], "formation_energy_mev_per_atom": 110, "sg": "No. 38"}



(17)
{"formula": "LaPb2W", "functional": "PBE", "state": "relaxed", "lattice": [[3.267, 0.000, 0.000], [0.000, 4.973, 0.000], [-1.021, 0.000, 6.280]], "species": ["La", "Pb", "Pb", "W"], "fractional_positions": [[0.000, 0.000, 0.000], [0.360, 0.500, 0.729], [0.640, 0.500, 0.271], [0.500, 0.000, 0.500]], "formation_energy_mev_per_atom": 451, "sg": "No. 10"}



(18)
{"formula": "Hf2NbAl", "functional": "PBE", "state": "relaxed", "lattice": [[3.122, 0.000, 0.000], [0.000, 4.458, 0.000], [-0.086, 0.000, 11.331]], "species": ["Hf", "Hf", "Hf", "Hf", "Nb", "Nb", "Al", "Al"], "fractional_positions": [[0.009, 0.250, 0.167], [0.478, 0.750, 0.318], [0.522, 0.250, 0.682], [0.991, 0.750, 0.833], [0.124, 0.750, 0.561], [0.876, 0.250, 0.439], [0.492, 0.250, 0.936], [0.508, 0.750, 0.064]], "formation_energy_mev_per_atom": -147, "sg": "No. 11"}



(19)
{"formula": "TaRu3Se", "functional": "PBE", "state": "relaxed", "lattice": [[4.468, 0.000, 0.000], [0.000, 4.468, 0.000], [0.000, 0.000, 4.468]], "species": ["Ta", "Ru", "Ru", "Ru", "Se"], "fractional_positions": [[0.000, 0.000, 0.000], [0.000, 0.500, 0.500], [0.500, 0.000, 0.500], [0.500, 0.500, 0.000], [0.500, 0.500, 0.500]], "sg": "No. 221", "formation_energy_uncorrected_ev_per_atom": 1.0020}



(20)
{"formula": "KGeBi2", "functional": "PBE", "state": "relaxed", "lattice": [[1.999, 1.154, 9.582], [-1.999, 1.154, 9.582], [0.000, -2.308, 9.582]], "species": ["K", "Ge", "Bi", "Bi"], "fractional_positions": [[0.000, 0.000, 0.000], [0.500, 0.500, 0.500], [0.231, 0.231, 0.231], [0.769, 0.769, 0.769]], "formation_energy_mev_per_atom": 42, "sg": "No. 166"}



For the records above, the corresponding total magnetic moment values read 0.00, 0.00, 0.00, 0.00, 0.00, 0.00, 0.00, 0.98, 1.08, 0.00, 0.00, 0.00, 0.00, 5.81, 0.00, 0.00, 0.00, 0.00, 0.00, 0.00 μB/f.u..
For the records above, the corresponding E values read -3.26, -7.36, -4.23, -3.60, -1.33, -5.97, -5.37, -2.97, -3.16, -6.77, -4.61, -11.26, -3.35, -6.32, -4.66, -4.59, -5.87, -8.58, -7.63, -3.33 eV per atom.